Record 1
GdEr2Mg, optimized geometry, DFT GGA-PBE; density = 7.34 g cm⁻³; DFT total energy = -6.218 eV per atom
1.0
3.574 0.000 0.000
0.000 3.574 0.000
0.000 0.000 9.142
Gd Er Mg
1 2 1
Cartesian
0.000 0.000 0.000
1.787 1.787 2.450
1.787 1.787 6.692
0.000 0.000 4.571

---

Record 2
ErVRh, optimized geometry, DFT GGA-PBE; density = 9.95 g cm⁻³; DFT total energy = -7.155 eV per atom
1.0
5.205 -1.667 0.000
5.205 1.667 0.000
-2.057 0.000 6.180
Er V Rh
2 2 2
Cartesian
0.845 0.000 1.964
7.507 0.000 4.216
0.063 0.000 5.319
8.289 0.000 0.861
5.205 0.000 0.000
4.176 0.000 3.090

---

Record 3
Ac2Y5Er4, optimized geometry, DFT GGA-PBE; density = 6.89 g cm⁻³; DFT total energy = -5.157 eV per atom
1.0
12.195 -1.755 0.000
12.195 1.755 0.000
-0.945 0.000 8.825
Ac Y Er
2 5 4
Cartesian
2.000 0.000 2.150
21.445 0.000 6.675
2.885 0.000 5.566
5.419 0.000 2.868
11.722 0.000 4.412
18.026 0.000 5.957
20.560 0.000 3.259
0.370 0.000 7.577
7.794 0.000 0.229
15.651 0.000 8.595
23.075 0.000 1.248